Material: TlReSe2
Method: DFT, GGA-PBEsol
State: optimized geometry

magnetization	0.0	μB per formula unit
raw formation energy	1.0719	eV per atom
DOS(E_F)	0.633	states/eV/atom
density	12.17	g/cm³
VASP energy	-77.501	eV per cell
relative energy among the computed polymorphs	687	meV per atom

a b c (Å): 6.689 6.689 6.689
angles (deg): 90.00 90.00 90.00
Positions (direct):
Tl (0.000, 0.000, 0.000)
Tl (0.000, 0.500, 0.500)
Tl (0.500, 0.000, 0.500)
Tl (0.500, 0.500, 0.000)
Re (0.250, 0.250, 0.250)
Re (0.250, 0.750, 0.750)
Re (0.750, 0.250, 0.750)
Re (0.750, 0.750, 0.250)
Se (0.000, 0.000, 0.500)
Se (0.000, 0.500, 0.000)
Se (0.250, 0.250, 0.750)
Se (0.250, 0.750, 0.250)
Se (0.500, 0.000, 0.000)
Se (0.500, 0.500, 0.500)
Se (0.750, 0.250, 0.250)
Se (0.750, 0.750, 0.750)


Material: LiSi2Os
Method: DFT, GGA-PBEsol
State: optimized geometry

magnetization	0.0	μB per formula unit
raw formation energy	-0.2063	eV per atom
DOS(E_F)	0.701	states/eV/atom
density	7.60	g/cm³
VASP energy	-53.002	eV per cell
relative energy among the computed polymorphs	0	meV per atom

a b c (Å): 7.922 2.909 4.867
angles (deg): 90.00 99.26 90.00
Positions (direct):
Li (0.000, 0.000, 0.000)
Li (0.500, 0.500, 0.000)
Si (0.237, 0.000, 0.711)
Si (0.263, 0.500, 0.289)
Si (0.737, 0.500, 0.711)
Si (0.763, 0.000, 0.289)
Os (0.000, 0.500, 0.500)
Os (0.500, 0.000, 0.500)


Material: KY2Pb
Method: DFT, GGA-PBEsol
State: optimized geometry

magnetization	0.0	μB per formula unit
DOS(E_F)	1.052	states/eV/atom
density	5.90	g/cm³
VASP energy	-36.814	eV per cell
DFT formation energy	0.09	eV/atom

a b c (Å): 4.738 4.738 10.640
angles (deg): 90.00 90.00 90.00
Positions (direct):
K (0.000, 0.000, 0.000)
K (0.500, 0.500, 0.500)
Y (0.000, 0.000, 0.500)
Y (0.000, 0.500, 0.750)
Y (0.500, 0.000, 0.250)
Y (0.500, 0.500, 0.000)
Pb (0.000, 0.500, 0.250)
Pb (0.500, 0.000, 0.750)


- density of number 2 (LiSi2Os)?
  7.60 g/cm³


- What is the magnetization in the third record?
  0.0 μB per formula unit